(1)
Material: LiGaFeRe
Method: DFT, PBE
State: optimized geometry

Lattice parameters (Å, degrees): 4.9233 4.9233 4.5386 106.94 106.94 31.27
Closest atoms and distances in Å follow each position.
Fractional positions:
Li 0.0000 0.0000 0.0000  4 Ga 2.64-2.65, 3 Fe 2.64-2.66, 2 Li 2.65, 2 Re 2.94
Ga 0.4712 0.4712 0.4832  2 Fe 2.53, 3 Re 2.63-2.68, 4 Li 2.64-2.65, 2 Ga 2.65
Fe 0.7523 0.7523 0.1596  2 Ga 2.53, 4 Re 2.61-2.68, 3 Li 2.64-2.66, 2 Fe 2.65
Re 0.2229 0.2229 0.6497  4 Fe 2.61-2.68, 3 Ga 2.63-2.68, 2 Re 2.65

Values from the calculation:
Energy above the lowest structure with this stoichiometry ... 0.334 eV per formula unit

(2)
Material: TaCoSe2
Method: DFT, PBE
State: optimized geometry

Lattice parameters (Å, degrees): 3.2067 3.2067 6.2431 90.00 90.00 90.00
Closest atoms and distances in Å follow each position.
Fractional positions:
Ta 0.0000 0.0000 0.0000  8 Se 2.74
Co 0.0000 0.0000 0.5000  8 Se 2.76
Se 0.5000 0.5000 0.2471  4 Ta 2.74, 4 Co 2.76
Se 0.5000 0.5000 0.7529  4 Ta 2.74, 4 Co 2.76

Values from the calculation:
DFT total energy ... -6.538 eV/atom

(3)
Material: TlPb2IO8
Method: DFT, PBE
State: optimized geometry

Lattice parameters (Å, degrees): 5.0563 5.0563 6.9297 90.00 90.00 90.28
Closest atoms and distances in Å follow each position.
Fractional positions:
Tl 0.0000 0.0000 0.0000  6 O 2.21-2.32
Pb 0.5000 0.5000 0.2493  6 O 2.20-2.26
Pb 0.5000 0.5000 0.7507  6 O 2.20-2.26
I 0.0000 0.0000 0.5000  6 O 2.07-2.12
O 0.1886 0.8114 0.2729  1 I 2.07, 1 Pb 2.24
O 0.1886 0.8114 0.7271  1 I 2.07, 1 Pb 2.24
O 0.2977 0.2977 0.5000  1 I 2.12, 2 Pb 2.26
O 0.3094 0.3094 0.0000  2 Pb 2.20, 1 Tl 2.21
O 0.6906 0.6906 0.0000  2 Pb 2.20, 1 Tl 2.21
O 0.7023 0.7023 0.5000  1 I 2.12, 2 Pb 2.26
O 0.8114 0.1886 0.2729  1 I 2.07, 1 Pb 2.24
O 0.8114 0.1886 0.7271  1 I 2.07, 1 Pb 2.24

Values from the calculation:
DFT total energy ... -4.852 eV/atom